Record 1
This record from the Alexandria database describes crystalline SrAc4Pm at its relaxed geometry. The functional is GGA-PBE.

Cell lengths 7.365, 7.365, 7.365 Å; angles 60.00, 60.00, 60.00 degrees
Element x y z (fractional)
Pm 0.000 0.000 0.000
Sr 0.250 0.250 0.250
Ac 0.120 0.627 0.627
Ac 0.627 0.627 0.627
Ac 0.627 0.627 0.120
Ac 0.627 0.120 0.627

M_tot, μB/cell: 0.00
Polymorph energy (0 for the lowest one), eV/atom: 0.220

Record 2
This record from the Alexandria database describes crystalline Sn2BiBH at its relaxed geometry. The functional is GGA-PBE.

Cell lengths 5.439, 3.387, 5.439 Å; angles 90.00, 90.00, 90.00 degrees
Element x y z (fractional)
H 0.000 0.000 0.000
Sn 0.500 0.000 0.000
Bi 0.500 0.500 0.500
Sn 0.000 0.000 0.500
B 0.000 0.500 0.000

M_tot, μB/cell: 0.00
Raw total energy, eV/atom: -3.531

Record 3
This record from the Alexandria database describes crystalline KTe4 at its relaxed geometry. The functional is GGA-PBE.

Cell lengths 6.690, 6.690, 6.690 Å; angles 95.50, 95.50, 143.92 degrees
Element x y z (fractional)
Te 0.648 0.814 0.463
Te 0.186 0.648 0.834
Te 0.814 0.352 0.166
Te 0.352 0.186 0.537
K 0.000 0.000 0.000

M_tot, μB/cell: 0.00
Polymorph energy (0 for the lowest one), eV/atom: 0.000
ΔE_f (raw), eV per atom: -0.220

Record 4
This record from the Alexandria database describes crystalline Ho3TlHg4 at its relaxed geometry. The functional is GGA-PBE.

Cell lengths 5.167, 5.167, 9.240 Å; angles 73.76, 73.76, 60.00 degrees
Element x y z (fractional)
Ho 0.500 0.500 0.500
Hg 0.381 0.381 0.858
Ho 0.257 0.257 0.230
Hg 0.867 0.867 0.398
Ho 0.743 0.743 0.770
Hg 0.619 0.619 0.142
Hg 0.133 0.133 0.602
Tl 0.000 0.000 0.000

M_tot, μB/cell: 0.00
Polymorph energy (0 for the lowest one), eV/atom: 0.000

Record 5
This record from the Alexandria database describes crystalline TaCdTc2 at its relaxed geometry. The functional is GGA-PBE.

Cell lengths 7.272, 7.272, 5.851 Å; angles 51.58, 51.58, 90.00 degrees
Element x y z (fractional)
Tc 0.095 0.625 0.250
Tc 0.655 0.125 0.250
Cd 0.250 0.750 0.500
Cd 0.500 0.500 0.000
Tc 0.375 0.345 0.750
Ta 0.000 0.000 0.000
Ta 0.750 0.250 0.500
Tc 0.875 0.905 0.750

M_tot, μB/cell: 0.00
Raw total energy, eV/atom: -7.564

Record 6
This record from the Alexandria database describes crystalline AlInTe2N at its relaxed geometry. The functional is GGA-PBE.

Cell lengths 5.939, 5.939, 3.461 Å; angles 90.00, 90.00, 90.00 degrees
Element x y z (fractional)
In 0.500 0.500 0.500
Te 0.500 0.000 0.000
Te 0.000 0.500 0.000
Al 0.000 0.000 0.000
N 0.000 0.000 0.500

M_tot, μB/cell: 0.00
Polymorph energy (0 for the lowest one), eV/atom: 0.000
ΔE_f (raw), eV per atom: 0.113

Record 7
This record from the Alexandria database describes crystalline LiTb3Te8Pb3 at its relaxed geometry. The functional is GGA-PBE.

Cell lengths 8.874, 8.874, 9.100 Å; angles 119.18, 90.00, 120.00 degrees
Element x y z (fractional)
Tb 0.500 0.500 0.500
Te 0.257 0.014 0.271
Pb 0.500 0.500 0.000
Te 0.757 0.514 0.271
Te 0.243 0.486 0.729
Pb 0.000 0.500 0.000
Te 0.746 0.491 0.737
Tb 0.000 0.500 0.500
Te 0.757 0.014 0.271
Pb 0.000 0.000 0.000
Te 0.743 0.986 0.729
Li 0.000 0.000 0.500
Tb 0.500 0.000 0.500
Te 0.254 0.509 0.263
Te 0.243 0.986 0.729

M_tot, μB/cell: 0.00
ΔE_f (raw), eV per atom: -0.886

Record 8
This record from the Alexandria database describes crystalline La8AgRu3Br4 at its relaxed geometry. The functional is GGA-PBE.

Cell lengths 8.435, 9.323, 8.434 Å; angles 116.92, 120.00, 90.00 degrees
Element x y z (fractional)
La 0.756 0.303 0.512
Ru 0.000 0.500 0.500
La 0.734 0.700 0.467
La 0.244 0.697 0.488
La 0.244 0.697 0.954
La 0.756 0.303 0.046
Br 0.500 0.000 0.500
Br 0.000 0.000 0.000
Br 0.000 0.000 0.500
La 0.710 0.697 0.954
Ag 0.000 0.500 0.000
Br 0.500 0.000 0.000
La 0.290 0.303 0.046
La 0.266 0.300 0.533
Ru 0.500 0.500 0.500
Ru 0.500 0.500 0.000

M_tot, μB/cell: 0.00
ΔE_f (raw), eV per atom: -0.906

Record 9
This record from the Alexandria database describes crystalline HgGeBi2Pd at its relaxed geometry. The functional is GGA-PBE.

Cell lengths 5.390, 5.142, 5.390 Å; angles 90.00, 90.00, 90.00 degrees
Element x y z (fractional)
Pd 0.000 0.000 0.000
Ge 0.500 0.500 0.500
Hg 0.000 0.500 0.000
Bi 0.500 0.000 0.000
Bi 0.000 0.000 0.500

M_tot, μB/cell: 0.00
Raw total energy, eV/atom: -3.209

Record 10
This record from the Alexandria database describes crystalline Sc2AlAg at its relaxed geometry. The functional is GGA-PBE.

Cell lengths 5.491, 5.491, 5.491 Å; angles 135.52, 135.52, 64.72 degrees
Element x y z (fractional)
Ag 0.500 0.500 0.000
Sc 0.250 0.750 0.500
Al 0.750 0.250 0.500
Sc 0.000 0.000 0.000

M_tot, μB/cell: 0.00
Raw total energy, eV/atom: -5.021

Record 11
This record from the Alexandria database describes crystalline LaMn2GeAu at its relaxed geometry. The functional is GGA-PBE.

Cell lengths 5.064, 5.020, 5.064 Å; angles 90.00, 90.00, 90.00 degrees
Element x y z (fractional)
La 0.500 0.500 0.500
Mn 0.500 0.000 0.000
Ge 0.000 0.500 0.000
Mn 0.000 0.000 0.500
Au 0.000 0.000 0.000

M_tot, μB/cell: 8.43
Raw total energy, eV/atom: -5.859

Record 12
This record from the Alexandria database describes crystalline BePtSe at its relaxed geometry. The functional is GGA-PBE.

Cell lengths 5.994, 4.725, 4.067 Å; angles 87.08, 93.28, 115.85 degrees
Element x y z (fractional)
Be 0.391 0.805 0.469
Se 0.010 0.774 0.464
Pt 0.517 0.418 0.528
Pt 0.062 0.305 0.269
Be 0.432 0.561 0.003
Se 0.626 0.114 0.028

M_tot, μB/cell: 0.00
ΔE_f (raw), eV per atom: -0.254

Record 13
This record from the Alexandria database describes crystalline Al3TcBr at its relaxed geometry. The functional is GGA-PBE.

Cell lengths 4.871, 4.871, 4.871 Å; angles 90.00, 90.00, 90.00 degrees
Element x y z (fractional)
Br 0.000 0.000 0.000
Al 0.000 0.000 0.500
Tc 0.500 0.500 0.500
Al 0.000 0.500 0.000
Al 0.500 0.000 0.000

M_tot, μB/cell: 2.66
Polymorph energy (0 for the lowest one), eV/atom: 1.187
ΔE_f (raw), eV per atom: 1.417

Record 14
This record from the Alexandria database describes crystalline BaLiTc2 at its relaxed geometry. The functional is GGA-PBE.

Cell lengths 6.315, 6.315, 6.315 Å; angles 145.09, 134.70, 58.44 degrees
Element x y z (fractional)
Tc 0.910 0.910 0.000
Tc 0.790 0.290 0.500
Ba 0.530 0.530 0.000
Li 0.270 0.770 0.500

M_tot, μB/cell: 0.00
Polymorph energy (0 for the lowest one), eV/atom: 0.299

Record 15
This record from the Alexandria database describes crystalline MgGaSi at its relaxed geometry. The functional is GGA-PBE.

Cell lengths 6.513, 8.305, 7.628 Å; angles 90.00, 147.93, 90.00 degrees
Element x y z (fractional)
Si 0.051 0.906 0.977
Mg 0.260 0.829 0.491
Mg 0.760 0.671 0.491
Ga 0.461 0.894 0.000
Ga 0.961 0.606 0.000
Mg 0.760 0.171 0.991
Si 0.551 0.594 0.977
Si 0.551 0.094 0.477
Si 0.051 0.406 0.477
Ga 0.461 0.394 0.500
Ga 0.961 0.106 0.500
Mg 0.260 0.329 0.991

M_tot, μB/cell: 0.00
ΔE_f (raw), eV per atom: 0.011

Record 16
This record from the Alexandria database describes crystalline Cd2CoCu at its relaxed geometry. The functional is GGA-PBE.

Cell lengths 4.355, 2.852, 5.414 Å; angles 74.77, 90.00, 90.00 degrees
Element x y z (fractional)
Cu 0.500 0.564 0.750
Co 0.000 0.688 0.495
Cd 0.000 0.960 0.956
Cd 0.500 0.287 0.299

M_tot, μB/cell: 1.45
Polymorph energy (0 for the lowest one), eV/atom: 0.027

Record 17
This record from the Alexandria database describes crystalline KNb3F at its relaxed geometry. The functional is GGA-PBE.

Cell lengths 4.693, 4.693, 4.693 Å; angles 90.00, 90.00, 90.00 degrees
Element x y z (fractional)
Nb 0.500 0.000 0.000
K 0.000 0.000 0.000
F 0.500 0.500 0.500
Nb 0.000 0.000 0.500
Nb 0.000 0.500 0.000

M_tot, μB/cell: 0.00
Polymorph energy (0 for the lowest one), eV/atom: 1.876
ΔE_f (raw), eV per atom: 2.722

Record 18
This record from the Alexandria database describes crystalline Ba2HgGe at its relaxed geometry. The functional is GGA-PBE.

Cell lengths 4.099, 4.099, 8.415 Å; angles 90.00, 90.00, 90.00 degrees
Element x y z (fractional)
Ba 0.000 0.000 0.229
Ge 0.500 0.500 0.000
Hg 0.500 0.500 0.500
Ba 0.000 0.000 0.771

M_tot, μB/cell: 0.00
Raw total energy, eV/atom: -2.661

Record 19
This record from the Alexandria database describes crystalline SrCoCl2 at its relaxed geometry. The functional is GGA-PBE.

Cell lengths 3.790, 3.790, 6.708 Å; angles 90.00, 90.00, 90.00 degrees
Element x y z (fractional)
Sr 0.500 0.500 0.750
Cl 0.000 0.000 0.985
Cl 0.000 0.000 0.515
Co 0.500 0.500 0.250

M_tot, μB/cell: 2.68
Polymorph energy (0 for the lowest one), eV/atom: 0.455
ΔE_f (raw), eV per atom: -0.519

Record 20
This record from the Alexandria database describes crystalline Li2Cd5O5 at its relaxed geometry. The functional is GGA-PBE.

Cell lengths 3.296, 5.880, 9.084 Å; angles 92.24, 90.00, 106.28 degrees
Element x y z (fractional)
Cd 0.354 0.707 0.027
Cd 0.500 0.000 0.500
O 0.132 0.265 0.400
O 0.599 0.199 0.724
O 0.868 0.735 0.600
Cd 0.767 0.533 0.345
Cd 0.646 0.293 0.973
O 0.000 0.000 0.000
Cd 0.233 0.467 0.655
Li 0.993 0.986 0.771
O 0.401 0.801 0.276
Li 0.007 0.014 0.229

M_tot, μB/cell: 0.00
ΔE_f (raw), eV per atom: -1.107

Record 21
This record from the Alexandria database describes crystalline MnPbSe at its relaxed geometry. The functional is GGA-PBE.

Cell lengths 10.383, 10.383, 6.699 Å; angles 141.43, 141.43, 19.30 degrees
Element x y z (fractional)
Se 0.396 0.396 0.740
Se 0.644 0.644 0.080
Mn 0.010 0.010 0.868
Pb 0.382 0.382 0.219
Pb 0.607 0.607 0.514
Mn 0.221 0.221 0.501

M_tot, μB/cell: 6.88
Polymorph energy (0 for the lowest one), eV/atom: 0.000
ΔE_f (raw), eV per atom: -0.076

Record 22
This record from the Alexandria database describes crystalline Rb6WN4 at its relaxed geometry. The functional is GGA-PBE.

Cell lengths 8.559, 8.559, 7.201 Å; angles 90.00, 90.00, 90.00 degrees
Element x y z (fractional)
Rb 0.796 0.796 0.500
N 0.000 0.811 0.145
Rb 0.000 0.500 0.297
W 0.000 0.000 0.000
N 0.000 0.189 0.145
W 0.500 0.500 0.500
Rb 0.704 0.296 0.000
N 0.811 0.000 0.855
N 0.189 0.000 0.855
Rb 0.796 0.204 0.500
N 0.500 0.311 0.355
Rb 0.500 0.000 0.703
N 0.689 0.500 0.645
N 0.311 0.500 0.645
Rb 0.204 0.796 0.500
Rb 0.500 0.000 0.203
Rb 0.704 0.704 0.000
Rb 0.296 0.704 0.000
N 0.500 0.689 0.355
Rb 0.000 0.500 0.797
Rb 0.296 0.296 0.000
Rb 0.204 0.204 0.500

M_tot, μB/cell: 0.00
ΔE_f (raw), eV per atom: -0.002

Record 23
This record from the Alexandria database describes crystalline RbCd2FeS at its relaxed geometry. The functional is GGA-PBE.

Cell lengths 6.186, 4.217, 6.186 Å; angles 90.00, 90.00, 90.00 degrees
Element x y z (fractional)
Cd 0.500 0.000 0.000
Rb 0.500 0.500 0.500
S 0.000 0.000 0.000
Cd 0.000 0.000 0.500
Fe 0.000 0.500 0.000

M_tot, μB/cell: 2.61
ΔE_f (raw), eV per atom: 0.280

Record 24
This record from the Alexandria database describes crystalline ZnSbMo2 at its relaxed geometry. The functional is GGA-PBE.

Cell lengths 3.408, 3.411, 5.865 Å; angles 90.00, 90.00, 90.00 degrees
Element x y z (fractional)
Zn 0.500 0.500 0.750
Mo 0.000 0.000 0.967
Mo 0.000 0.000 0.533
Sb 0.500 0.500 0.250

M_tot, μB/cell: 0.00
Polymorph energy (0 for the lowest one), eV/atom: 0.248
ΔE_f (raw), eV per atom: 0.366

Record 25
This record from the Alexandria database describes crystalline ScTiO at its relaxed geometry. The functional is GGA-PBE.

Cell lengths 4.280, 4.280, 9.014 Å; angles 90.00, 90.00, 90.00 degrees
Element x y z (fractional)
Ti 0.250 0.750 0.750
Sc 0.250 0.250 0.500
O 0.750 0.750 0.750
Sc 0.250 0.250 0.000
Sc 0.750 0.750 0.000
O 0.250 0.250 0.750
Ti 0.750 0.250 0.250
Sc 0.750 0.750 0.500
Ti 0.750 0.250 0.750
O 0.750 0.750 0.250
O 0.250 0.250 0.250
Ti 0.250 0.750 0.250

M_tot, μB/cell: 0.00
Polymorph energy (0 for the lowest one), eV/atom: 0.239
ΔE_f (raw), eV per atom: -1.705